Below is an optimized crystal structure of TaF5, with properties calculated at the PBE level.

## Properties
Excess energy over the best structure of this formula in the dataset, meV/atom: 354
Total magnetic moment, μB/atom: 0.000
ΔE_f (raw), eV per atom: -2.87

POSCAR file:
```
TaF5
1.0
-1.8652 2.2034 4.9355
1.8652 -2.2034 4.9355
1.8652 2.2034 -4.9355
Ta F
1 5
Direct
0.0000 0.0000 0.0000
0.1899 0.1899 0.0000
0.2332 0.5000 0.7332
0.5000 0.0000 0.5000
0.7668 0.5000 0.2668
0.8101 0.8101 0.0000
```